Here is Cr2SnO after structural relaxation from Alexandria via LeMat-Bulk. Energies are from PBE+U.

Cell lengths 6.265, 6.265, 6.155 Å; angles 59.41, 59.41, 90.00 degrees
Each line ends with the local moment (μB).
Fractional coordinates of all 8 atoms:
Sn (0.000, 0.000, 0.000)  -0.13
Sn (0.750, 0.250, 0.500)  -0.13
Cr (0.375, 0.543, 0.750)  3.90
Cr (0.457, 0.125, 0.250)  3.87
O (0.500, 0.500, 0.000)  -0.11
O (0.250, 0.750, 0.500)  -0.11
Cr (0.293, 0.625, 0.250)  3.89
Cr (0.875, 0.707, 0.750)  3.93

Results
The energy above the most stable polymorph in this dataset is 0 meV per atom.